Record 1
Entry from the Alexandria database: crystalline Ba2TeCl at its relaxed geometry (PBE).

Unit cell a=4.8473 b=4.8473 c=8.1044 alpha=107.30 beta=107.30 gamma=59.88
Fractional positions:
1 Ba 0.2469 0.2469 0.2412
2 Ba 0.7531 0.7531 0.7588
3 Te 0.0000 0.0000 0.5000
4 Cl 0.5000 0.5000 0.0000

Summary:
* final energy: -15.98 eV per cell
* mass density: 4.7 Mg/m³
* space group: No. 12


Record 2
Entry from the Alexandria database: crystalline CaFeAg2 at its relaxed geometry (PBE).

Unit cell a=9.3951 b=9.3951 c=9.3951 alpha=19.39 beta=19.39 gamma=19.39
Fractional positions:
1 Ca 0.0000 0.0000 0.0000
2 Fe 0.5000 0.5000 0.5000
3 Ag 0.2409 0.2409 0.2409
4 Ag 0.7591 0.7591 0.7591

Summary:
* mass density: 6.5 Mg/m³
* space group: No. 166
* energy of formation: 1.801 eV per formula unit


Record 3
Entry from the Alexandria database: crystalline Mg2SiAgPb at its relaxed geometry (PBE).

Unit cell a=5.3403 b=5.3403 c=5.3141 alpha=90.00 beta=90.00 gamma=90.00
Fractional positions:
1 Mg 0.0000 0.5000 0.0000
2 Mg 0.5000 0.0000 0.0000
3 Si 0.0000 0.0000 0.5000
4 Ag 0.5000 0.5000 0.5000
5 Pb 0.5000 0.5000 0.0000

Summary:
* final energy: -10.94 eV per cell
* mass density: 4.3 Mg/m³
* space group: No. 123


Record 4
Entry from the Alexandria database: crystalline PmTlCd17 at its relaxed geometry (PBE).

Unit cell a=7.7427 b=7.7427 c=7.7427 alpha=82.32 beta=82.32 gamma=82.32
Fractional positions:
1 Pm 0.0000 0.0000 0.0000
2 Tl 0.3164 0.3164 0.3164
3 Cd 0.0176 0.0176 0.5327
4 Cd 0.0176 0.5327 0.0176
5 Cd 0.1799 0.6615 0.6615
6 Cd 0.2996 0.2996 0.8549
7 Cd 0.2996 0.8549 0.2996
8 Cd 0.3675 0.6694 0.9713
9 Cd 0.3675 0.9713 0.6694
10 Cd 0.5327 0.0176 0.0176
11 Cd 0.5707 0.5707 0.5707
12 Cd 0.6615 0.1799 0.6615
13 Cd 0.6615 0.6615 0.1799
14 Cd 0.6694 0.3675 0.9713
15 Cd 0.6694 0.9713 0.3675
16 Cd 0.7719 0.7719 0.7719
17 Cd 0.8549 0.2996 0.2996
18 Cd 0.9713 0.3675 0.6694
19 Cd 0.9713 0.6694 0.3675

Summary:
* mass density: 8.3 Mg/m³
* space group: No. 160
* energy of formation: -1.129 eV per formula unit


Record 5
Entry from the Alexandria database: crystalline PrDyGaHg at its relaxed geometry (PBE).

Unit cell a=3.6666 b=3.6666 c=7.6628 alpha=90.00 beta=90.00 gamma=90.00
Fractional positions:
1 Pr 0.0000 0.0000 0.0000
2 Dy 0.0000 0.0000 0.5294
3 Ga 0.5000 0.5000 0.7526
4 Hg 0.5000 0.5000 0.2888

Summary:
* mass density: 9.2 Mg/m³
* space group: No. 99
* energy of formation: -2.099 eV per formula unit


Record 6
Entry from the Alexandria database: crystalline CsKBa2Cl at its relaxed geometry (PBE).

Unit cell a=6.4027 b=6.4027 c=7.6231 alpha=90.00 beta=90.00 gamma=90.00
Fractional positions:
1 Cs 0.0000 0.0000 0.0000
2 K 0.5000 0.5000 0.0000
3 Ba 0.0000 0.5000 0.5000
4 Ba 0.5000 0.0000 0.5000
5 Cl 0.0000 0.0000 0.5000

Summary:
* final energy: -10.64 eV per cell
* mass density: 2.6 Mg/m³
* space group: No. 123


Record 7
Entry from the Alexandria database: crystalline CeSe at its relaxed geometry (PBE).

Unit cell a=4.1956 b=4.1956 c=4.1956 alpha=60.00 beta=60.00 gamma=60.00
Fractional positions:
1 Ce 0.0000 0.0000 0.0000
2 Se 0.5000 0.5000 0.5000

Summary:
* final energy: -13.05 eV per cell
* mass density: 7.0 Mg/m³
* space group: No. 225


Record 8
Entry from the Alexandria database: crystalline TmAl3Au2 at its relaxed geometry (PBE).

Unit cell a=8.6868 b=8.6868 c=10.1269 alpha=105.33 beta=105.33 gamma=27.77
Fractional positions:
1 Tm 0.0000 0.0000 0.0000
2 Tm 0.1569 0.1569 0.7060
3 Tm 0.8431 0.8431 0.2940
4 Al 0.0409 0.0409 0.3573
5 Al 0.2123 0.2123 0.3827
6 Al 0.3295 0.3295 0.0392
7 Al 0.3755 0.3755 0.8024
8 Al 0.5000 0.5000 0.5000
9 Al 0.6245 0.6245 0.1976
10 Al 0.6705 0.6705 0.9608
11 Al 0.7877 0.7877 0.6173
12 Al 0.9591 0.9591 0.6427
13 Au 0.1982 0.1982 0.1231
14 Au 0.3558 0.3558 0.5346
15 Au 0.4707 0.4707 0.2129
16 Au 0.5293 0.5293 0.7871
17 Au 0.6442 0.6442 0.4654
18 Au 0.8018 0.8018 0.8769

Summary:
* mass density: 9.4 Mg/m³
* space group: No. 12
* energy of formation: -3.562 eV per formula unit


Record 9
Entry from the Alexandria database: crystalline AsSIBr2 at its relaxed geometry (PBE).

Unit cell a=5.5249 b=5.5249 c=5.7242 alpha=90.00 beta=90.00 gamma=90.00
Fractional positions:
1 As 0.0000 0.0000 0.0000
2 S 0.5000 0.5000 0.0000
3 I 0.0000 0.0000 0.5000
4 Br 0.0000 0.5000 0.5000
5 Br 0.5000 0.0000 0.5000

Summary:
* final energy: -8.32 eV per cell
* mass density: 3.7 Mg/m³
* space group: No. 123


Record 10
Entry from the Alexandria database: crystalline DyThCuAu at its relaxed geometry (PBE).

Unit cell a=5.1115 b=5.1115 c=5.1115 alpha=60.00 beta=60.00 gamma=60.00
Fractional positions:
1 Dy 0.0000 0.0000 0.0000
2 Th 0.5000 0.5000 0.5000
3 Cu 0.2500 0.2500 0.2500
4 Au 0.7500 0.7500 0.7500

Summary:
* mass density: 11.5 Mg/m³
* space group: No. 216
* energy of formation: -1.589 eV per formula unit


Record 11
Entry from the Alexandria database: crystalline TmGa4Ni2 at its relaxed geometry (PBE).

Unit cell a=7.7370 b=7.7370 c=3.7877 alpha=90.00 beta=90.00 gamma=90.00
Fractional positions:
1 Tm 0.0000 0.0000 0.0000
2 Tm 0.5000 0.5000 0.5000
3 Ga 0.0783 0.3194 0.5000
4 Ga 0.1806 0.5783 0.0000
5 Ga 0.3194 0.0783 0.5000
6 Ga 0.4217 0.8194 0.0000
7 Ga 0.5783 0.1806 0.0000
8 Ga 0.6806 0.9217 0.5000
9 Ga 0.8194 0.4217 0.0000
10 Ga 0.9217 0.6806 0.5000
11 Ni 0.2144 0.7856 0.5000
12 Ni 0.2856 0.2856 0.0000
13 Ni 0.7144 0.7144 0.0000
14 Ni 0.7856 0.2144 0.5000

Summary:
* mass density: 8.3 Mg/m³
* space group: No. 136
* energy of formation: -2.978 eV per formula unit


Record 12
Entry from the Alexandria database: crystalline ReAs2Au at its relaxed geometry (PBE).

Unit cell a=4.5697 b=4.5697 c=4.5697 alpha=60.00 beta=60.00 gamma=60.00
Fractional positions:
1 Re 0.0000 0.0000 0.0000
2 As 0.2500 0.2500 0.2500
3 As 0.7500 0.7500 0.7500
4 Au 0.5000 0.5000 0.5000

Summary:
* mass density: 13.1 Mg/m³
* space group: No. 225
* energy of formation: 2.594 eV per formula unit


Question: Look up the mass density of the sixth one.
Answer: 2.6 Mg/m³


Question: Which value of mass density does entry 8 give?
Answer: 9.4 Mg/m³


Please write out number 11 again, unchanged.
Entry from the Alexandria database: crystalline TmGa4Ni2 at its relaxed geometry (PBE).

Unit cell a=7.7370 b=7.7370 c=3.7877 alpha=90.00 beta=90.00 gamma=90.00
Fractional positions:
1 Tm 0.0000 0.0000 0.0000
2 Tm 0.5000 0.5000 0.5000
3 Ga 0.0783 0.3194 0.5000
4 Ga 0.1806 0.5783 0.0000
5 Ga 0.3194 0.0783 0.5000
6 Ga 0.4217 0.8194 0.0000
7 Ga 0.5783 0.1806 0.0000
8 Ga 0.6806 0.9217 0.5000
9 Ga 0.8194 0.4217 0.0000
10 Ga 0.9217 0.6806 0.5000
11 Ni 0.2144 0.7856 0.5000
12 Ni 0.2856 0.2856 0.0000
13 Ni 0.7144 0.7144 0.0000
14 Ni 0.7856 0.2144 0.5000

Summary:
* mass density: 8.3 Mg/m³
* space group: No. 136
* energy of formation: -2.978 eV per formula unit